# 1
PBE Fe5Pd4Rh2, relaxed; E_form = 0.006 eV per atom; D(E_F) = 18.2 states/eV/cell; space group = Pbam (55)
1.0
2.782 0.000 0.000
0.000 6.788 0.000
0.000 0.000 16.490
Fe Pd Rh
10 8 4
Cartesian
0.000 3.394 0.000
0.000 0.000 8.245
0.000 1.589 3.320
0.000 5.199 13.170
0.000 4.983 4.925
0.000 1.805 11.565
0.000 2.267 7.043
0.000 4.522 9.447
0.000 5.661 1.202
0.000 1.128 15.288
1.391 2.199 9.246
1.391 4.589 7.244
1.391 5.593 15.489
1.391 1.195 1.001
1.391 3.110 14.187
1.391 3.679 2.303
1.391 6.504 10.548
1.391 0.285 5.942
1.391 2.876 4.988
1.391 3.912 11.502
1.391 6.270 3.257
1.391 0.518 13.233

# 2
PBE FePdRh, relaxed; E_form = -0.019 eV per atom; D(E_F) = 5.0 states/eV/cell; energy above the lowest structure with this stoichiometry = 0.0297 eV per atom; space group = I4mm (107)
1.0
2.748 0.000 0.000
0.000 2.748 0.000
-1.374 -1.374 5.584
Rh Fe Pd
1 1 1
Cartesian
0.000 0.000 3.611
1.374 1.374 1.898
0.000 0.000 0.075

# 3
PBE Fe6Pd12Rh, relaxed; E_form = -0.046 eV per atom; D(E_F) = 16.5 states/eV/cell; energy above the lowest structure with this stoichiometry = 0.0000 eV per atom; space group = R-3 (148)
1.0
6.373 0.000 2.043
-3.176 5.967 2.599
0.021 0.000 7.242
Fe Pd Rh
6 12 1
Cartesian
1.154 2.817 3.660
-1.823 4.122 5.734
-0.137 4.661 7.781
2.064 3.150 8.224
5.041 1.845 6.150
3.355 1.305 4.103
0.635 5.077 5.250
1.514 5.233 9.814
4.220 1.623 8.682
2.583 0.889 6.634
1.704 0.734 2.070
-1.002 4.343 3.202
0.327 2.540 6.167
-0.466 2.237 1.574
0.899 0.303 4.626
2.891 3.427 5.717
3.684 3.729 10.310
2.320 5.664 7.258
0.000 0.000 0.000

# 4
PBE FePd6Rh, relaxed; E_form = -0.008 eV per atom; D(E_F) = 11.4 states/eV/cell; energy above the lowest structure with this stoichiometry = 0.0000 eV per atom; space group = P4/mmm (123)
1.0
-0.728 2.332 3.048
-3.091 -2.196 0.941
4.560 -4.482 4.519
Fe Pd Rh
1 6 1
Cartesian
2.280 -2.241 2.259
-1.910 0.068 1.995
0.371 -2.173 4.254
0.801 0.021 2.678
3.031 -2.171 4.889
-0.381 -2.243 1.625
1.850 -4.435 3.835
0.000 0.000 0.000

# 5
PBE FePd3Rh, relaxed; E_form = 1.033 eV per atom; D(E_F) = 9.9 states/eV/cell; energy above the lowest structure with this stoichiometry = 0.8218 eV per atom; space group = Pm-3m (221)
1.0
4.509 0.000 0.000
0.000 4.509 0.000
0.000 0.000 4.509
Rh Fe Pd
1 1 3
Cartesian
2.254 2.254 2.254
0.000 0.000 0.000
0.000 2.254 0.000
0.000 0.000 2.254
2.254 0.000 0.000

# 6
PBE Fe4Pd2Rh3, relaxed; E_form = -0.013 eV per atom; D(E_F) = 10.4 states/eV/cell; space group = C2/m (12)
1.0
3.838 0.000 0.000
-1.919 4.128 -0.689
0.000 -0.874 7.958
Fe Pd Rh
4 2 3
Cartesian
0.000 2.666 0.405
1.919 3.504 4.591
0.000 -0.249 2.679
1.919 0.589 6.864
1.919 1.197 1.522
0.000 2.058 5.748
1.919 0.854 4.237
0.000 0.000 0.000
0.000 2.401 3.033

# 7
PBE FePdRh, relaxed; E_form = 0.219 eV per atom; D(E_F) = 3.6 states/eV/cell; energy above the lowest structure with this stoichiometry = 0.2679 eV per atom; space group = P-6m2 (187)
1.0
-2.095 0.693 -1.439
-2.060 -3.672 1.229
-0.427 3.657 2.383
Rh Fe Pd
1 1 1
Cartesian
-1.321 1.329 1.759
-2.912 -0.767 0.654
-0.349 0.116 -0.240

# 8
PBE Fe3Pd3Rh2, relaxed; E_form = -0.028 eV per atom; D(E_F) = 8.3 states/eV/cell; space group = Pmmm (47)
1.0
3.869 0.000 0.000
0.000 3.886 0.000
0.000 0.000 7.464
Fe Pd Rh
3 3 2
Cartesian
0.000 1.943 3.732
1.934 0.000 0.000
1.934 0.000 3.732
1.934 1.943 1.923
1.934 1.943 5.540
0.000 1.943 0.000
0.000 0.000 1.964
0.000 0.000 5.499

| no. | electronic total energy (eV per atom) | V (Å³ per cell) |
| --- | --- | --- |
| 1 | -7.066 | 311 |
| 2 | -7.021 | 42 |
| 3 | -6.385 | 275 |
| 4 | -5.879 | 119 |
| 5 | -5.246 | 92 |
| 6 | -7.378 | 124 |
| 7 | -6.783 | 44 |
| 8 | -6.987 | 112 |